Entry 1:
Compound: Sr2ZrGa2
Source: Alexandria via LeMat-Bulk
Functional: PBE
Structure: relaxed

Results
Offset from the most stable computed form in eV per formula unit: 0.000
VASP energy in eV/atom: -3.705
Formation energy from the elements in eV/atom: -0.11
SG: P4/mbm, No. 127
DOS at the Fermi energy in states/eV per atom: 1.095

Cell lengths 7.455, 7.455, 5.152 Å; angles 90.00, 90.00, 90.00 degrees
Sites, in units of the cell vectors:
Sr 0.175 0.325 0.000
Sr 0.325 0.825 0.000
Sr 0.675 0.175 0.000
Sr 0.825 0.675 0.000
Zr 0.000 0.000 0.500
Zr 0.500 0.500 0.500
Ga 0.130 0.630 0.500
Ga 0.370 0.130 0.500
Ga 0.630 0.870 0.500
Ga 0.870 0.370 0.500

Entry 2:
Compound: Ca4Ga5Ge6
Source: Alexandria via LeMat-Bulk
Functional: PBE
Structure: relaxed

Results
VASP energy in eV/atom: -3.787
Formation energy from the elements in eV/atom: -0.40
SG: Cmc2_1, No. 36
DOS at the Fermi energy in states/eV per atom: 0.307

Cell lengths 9.951, 9.951, 15.985 Å; angles 90.00, 90.00, 154.88 degrees
Sites, in units of the cell vectors:
Ca 0.011 0.989 0.500
Ca 0.039 0.961 0.771
Ca 0.161 0.839 0.308
Ca 0.182 0.818 0.951
Ca 0.818 0.182 0.451
Ca 0.839 0.161 0.808
Ca 0.961 0.039 0.271
Ca 0.989 0.011 0.000
Ga 0.149 0.851 0.633
Ga 0.302 0.698 0.624
Ga 0.342 0.658 0.279
Ga 0.363 0.637 0.979
Ga 0.440 0.560 0.689
Ga 0.560 0.440 0.189
Ga 0.637 0.363 0.479
Ga 0.658 0.342 0.779
Ga 0.698 0.302 0.124
Ga 0.851 0.149 0.133
Ge 0.112 0.888 0.118
Ge 0.211 0.789 0.492
Ge 0.231 0.769 0.764
Ge 0.425 0.575 0.408
Ge 0.429 0.571 0.133
Ge 0.451 0.549 0.856
Ge 0.549 0.451 0.356
Ge 0.571 0.429 0.633
Ge 0.575 0.425 0.908
Ge 0.769 0.231 0.264
Ge 0.789 0.211 0.992
Ge 0.888 0.112 0.618

Entry 3:
Compound: PaInAsO6
Source: Alexandria via LeMat-Bulk
Functional: PBE
Structure: relaxed

Results
VASP energy in eV/atom: -7.254
SG: P-31c, No. 163
DOS at the Fermi energy in states/eV per atom: 0.575

Cell lengths 5.332, 5.332, 9.640 Å; angles 90.00, 90.00, 120.00 degrees
Sites, in units of the cell vectors:
Pa 0.000 0.000 0.000
Pa 0.000 0.000 0.500
In 0.333 0.667 0.250
In 0.667 0.333 0.750
As 0.333 0.667 0.750
As 0.667 0.333 0.250
O 0.027 0.353 0.632
O 0.027 0.673 0.868
O 0.327 0.353 0.868
O 0.327 0.973 0.632
O 0.353 0.027 0.132
O 0.353 0.327 0.368
O 0.647 0.673 0.632
O 0.647 0.973 0.868
O 0.673 0.027 0.368
O 0.673 0.647 0.132
O 0.973 0.327 0.132
O 0.973 0.647 0.368

Entry 4:
Compound: ZrMnFe
Source: Alexandria via LeMat-Bulk
Functional: PBE
Structure: relaxed

Results
Offset from the most stable computed form in eV per formula unit: 1.804
VASP energy in eV/atom: -8.353
Formation energy from the elements in eV/atom: 0.37
SG: F-43m, No. 216
DOS at the Fermi energy in states/eV per atom: 1.370

Cell lengths 5.908, 5.908, 5.908 Å; angles 90.00, 90.00, 90.00 degrees
Sites, in units of the cell vectors:
Zr 0.000 0.000 0.000
Zr 0.000 0.500 0.500
Zr 0.500 0.000 0.500
Zr 0.500 0.500 0.000
Mn 0.000 0.000 0.500
Mn 0.000 0.500 0.000
Mn 0.500 0.000 0.000
Mn 0.500 0.500 0.500
Fe 0.250 0.250 0.750
Fe 0.250 0.750 0.250
Fe 0.750 0.250 0.250
Fe 0.750 0.750 0.750

Entry 5:
Compound: Pm3CdHg
Source: Alexandria via LeMat-Bulk
Functional: PBE
Structure: relaxed

Results
Offset from the most stable computed form in eV per formula unit: 0.753
VASP energy in eV/atom: -3.245
Formation energy from the elements in eV/atom: -0.15
SG: Pmmn, No. 59
DOS at the Fermi energy in states/eV per atom: 1.000

Cell lengths 4.727, 7.058, 9.546 Å; angles 90.00, 90.00, 90.00 degrees
Sites, in units of the cell vectors:
Pm 0.250 0.009 0.211
Pm 0.250 0.250 0.562
Pm 0.250 0.491 0.211
Pm 0.750 0.509 0.789
Pm 0.750 0.750 0.438
Pm 0.750 0.991 0.789
Cd 0.250 0.250 0.922
Cd 0.750 0.750 0.078
Hg 0.250 0.750 0.646
Hg 0.750 0.250 0.354

Entry 6:
Compound: Mg2SeCl
Source: Alexandria via LeMat-Bulk
Functional: PBE
Structure: relaxed

Results
Offset from the most stable computed form in eV per formula unit: 0.245
VASP energy in eV/atom: -3.085
SG: P2/m, No. 10
DOS at the Fermi energy in states/eV per atom: 0.315

Cell lengths 3.998, 4.003, 5.641 Å; angles 90.00, 90.17, 90.00 degrees
Sites, in units of the cell vectors:
Mg 0.000 0.000 0.000
Mg 0.500 0.500 0.500
Se 0.000 0.000 0.500
Cl 0.500 0.500 0.000

Entry 7:
Compound: ThGe3Rh5
Source: Alexandria via LeMat-Bulk
Functional: PBE
Structure: relaxed

Results
VASP energy in eV/atom: -7.017
Formation energy from the elements in eV/atom: -0.57
SG: Cmcm, No. 63
DOS at the Fermi energy in states/eV per atom: 0.431

Cell lengths 6.044, 6.044, 13.636 Å; angles 90.00, 90.00, 141.58 degrees
Sites, in units of the cell vectors:
Th 0.209 0.791 0.750
Th 0.791 0.209 0.250
Ge 0.061 0.939 0.250
Ge 0.372 0.628 0.515
Ge 0.372 0.628 0.985
Ge 0.628 0.372 0.015
Ge 0.628 0.372 0.485
Ge 0.939 0.061 0.750
Rh 0.000 0.000 0.000
Rh 0.000 0.000 0.500
Rh 0.214 0.786 0.104
Rh 0.214 0.786 0.396
Rh 0.473 0.527 0.151
Rh 0.473 0.527 0.349
Rh 0.527 0.473 0.651
Rh 0.527 0.473 0.849
Rh 0.786 0.214 0.604
Rh 0.786 0.214 0.896

Entry 8:
Compound: ZnFeReRu
Source: Alexandria via LeMat-Bulk
Functional: PBE
Structure: relaxed

Results
VASP energy in eV/atom: -7.693
Formation energy from the elements in eV/atom: 0.17
SG: F-43m, No. 216
DOS at the Fermi energy in states/eV per atom: 1.098

Cell lengths 5.986, 5.986, 5.986 Å; angles 90.00, 90.00, 90.00 degrees
Sites, in units of the cell vectors:
Zn 0.000 0.000 0.000
Zn 0.000 0.500 0.500
Zn 0.500 0.000 0.500
Zn 0.500 0.500 0.000
Fe 0.250 0.250 0.250
Fe 0.250 0.750 0.750
Fe 0.750 0.250 0.750
Fe 0.750 0.750 0.250
Re 0.000 0.000 0.500
Re 0.000 0.500 0.000
Re 0.500 0.000 0.000
Re 0.500 0.500 0.500
Ru 0.250 0.250 0.750
Ru 0.250 0.750 0.250
Ru 0.750 0.250 0.250
Ru 0.750 0.750 0.750

Entry 9:
Compound: CsCuMoBr6
Source: Alexandria via LeMat-Bulk
Functional: PBE
Structure: relaxed

Results
VASP energy in eV/atom: -3.598
SG: P312, No. 149
DOS at the Fermi energy in states/eV per atom: 0.746

Cell lengths 6.830, 6.830, 8.249 Å; angles 90.00, 90.00, 120.00 degrees
Sites, in units of the cell vectors:
Cs 0.000 0.000 0.000
Cu 0.333 0.667 0.500
Mo 0.667 0.333 0.500
Br 0.371 0.008 0.677
Br 0.371 0.363 0.323
Br 0.637 0.008 0.323
Br 0.637 0.629 0.677
Br 0.992 0.363 0.677
Br 0.992 0.629 0.323

Entry 10:
Compound: LiRu2Br
Source: Alexandria via LeMat-Bulk
Functional: PBE
Structure: relaxed

Results
Offset from the most stable computed form in eV per formula unit: 0.000
VASP energy in eV/atom: -5.370
SG: Amm2, No. 38
DOS at the Fermi energy in states/eV per atom: 0.859

Cell lengths 3.126, 3.055, 14.135 Å; angles 90.00, 90.00, 90.00 degrees
Sites, in units of the cell vectors:
Li 0.000 0.000 0.000
Li 0.000 0.500 0.500
Ru 0.000 0.000 0.233
Ru 0.000 0.500 0.733
Ru 0.500 0.000 0.643
Ru 0.500 0.500 0.143
Br 0.500 0.000 0.395
Br 0.500 0.500 0.895

Entry 11:
Compound: Sm6Sb2Te3Pb
Source: Alexandria via LeMat-Bulk
Functional: PBE
Structure: relaxed

Results
VASP energy in eV/atom: -5.363
SG: C2/m, No. 12
DOS at the Fermi energy in states/eV per atom: 0.393

Cell lengths 10.013, 10.013, 8.950 Å; angles 102.95, 102.95, 25.86 degrees
Sites, in units of the cell vectors:
Sm 0.002 0.002 0.245
Sm 0.331 0.331 0.423
Sm 0.336 0.336 0.912
Sm 0.664 0.664 0.088
Sm 0.669 0.669 0.577
Sm 0.998 0.998 0.755
Sb 0.167 0.167 0.334
Sb 0.833 0.833 0.666
Te 0.167 0.167 0.833
Te 0.500 0.500 0.500
Te 0.833 0.833 0.167
Pb 0.500 0.500 0.000

Entry 12:
Compound: CuSi3Se
Source: Alexandria via LeMat-Bulk
Functional: PBE
Structure: relaxed

Results
Offset from the most stable computed form in eV per formula unit: 0.000
VASP energy in eV/atom: -4.117
SG: Pm-3m, No. 221
DOS at the Fermi energy in states/eV per atom: 0.406

Cell lengths 4.565, 4.565, 4.565 Å; angles 90.00, 90.00, 90.00 degrees
Sites, in units of the cell vectors:
Cu 0.000 0.000 0.000
Si 0.000 0.000 0.500
Si 0.000 0.500 0.000
Si 0.500 0.000 0.000
Se 0.500 0.500 0.500

Entry 13:
Compound: Pa2CoTc
Source: Alexandria via LeMat-Bulk
Functional: PBE
Structure: relaxed

Results
Offset from the most stable computed form in eV per formula unit: 0.763
VASP energy in eV/atom: -9.272
Formation energy from the elements in eV/atom: -0.16
SG: P4/mmm, No. 123
DOS at the Fermi energy in states/eV per atom: 1.558

Cell lengths 3.353, 3.353, 6.791 Å; angles 90.00, 90.00, 90.00 degrees
Sites, in units of the cell vectors:
Pa 0.000 0.000 0.234
Pa 0.000 0.000 0.766
Co 0.500 0.500 0.000
Tc 0.500 0.500 0.500

Entry 14:
Compound: RbNa3H3
Source: Alexandria via LeMat-Bulk
Functional: PBE
Structure: relaxed

Results
VASP energy in eV/atom: -2.131
SG: Pm-3n, No. 223
DOS at the Fermi energy in states/eV per atom: 0.404

Cell lengths 6.715, 6.715, 6.715 Å; angles 90.00, 90.00, 90.00 degrees
Sites, in units of the cell vectors:
Rb 0.000 0.000 0.000
Rb 0.500 0.500 0.500
Na 0.000 0.250 0.500
Na 0.000 0.750 0.500
Na 0.250 0.500 0.000
Na 0.500 0.000 0.250
Na 0.500 0.000 0.750
Na 0.750 0.500 0.000
H 0.000 0.500 0.250
H 0.000 0.500 0.750
H 0.250 0.000 0.500
H 0.500 0.250 0.000
H 0.500 0.750 0.000
H 0.750 0.000 0.500

Entry 15:
Compound: PmMgCuRu
Source: Alexandria via LeMat-Bulk
Functional: PBE
Structure: relaxed

Results
VASP energy in eV/atom: -4.976
Formation energy from the elements in eV/atom: -0.05
SG: F-43m, No. 216
DOS at the Fermi energy in states/eV per atom: 0.451

Cell lengths 6.718, 6.718, 6.718 Å; angles 90.00, 90.00, 90.00 degrees
Sites, in units of the cell vectors:
Pm 0.000 0.000 0.000
Pm 0.000 0.500 0.500
Pm 0.500 0.000 0.500
Pm 0.500 0.500 0.000
Mg 0.000 0.000 0.500
Mg 0.000 0.500 0.000
Mg 0.500 0.000 0.000
Mg 0.500 0.500 0.500
Cu 0.250 0.250 0.750
Cu 0.250 0.750 0.250
Cu 0.750 0.250 0.250
Cu 0.750 0.750 0.750
Ru 0.250 0.250 0.250
Ru 0.250 0.750 0.750
Ru 0.750 0.250 0.750
Ru 0.750 0.750 0.250

Entry 16:
Compound: ErTeN
Source: Alexandria via LeMat-Bulk
Functional: PBE
Structure: relaxed

Results
VASP energy in eV/atom: -6.097
SG: P-1, No. 2
DOS at the Fermi energy in states/eV per atom: 0.345

Cell lengths 3.290, 5.979, 6.454 Å; angles 106.21, 90.12, 91.31 degrees
Sites, in units of the cell vectors:
Er 0.004 0.094 0.264
Er 0.996 0.906 0.736
Te 0.495 0.424 0.744
Te 0.505 0.576 0.256
N 0.500 0.000 0.000
N 0.500 0.000 0.500

Entry 17:
Compound: GdGa2Pd
Source: Alexandria via LeMat-Bulk
Functional: PBE
Structure: relaxed

Results
VASP energy in eV/atom: -7.046
Formation energy from the elements in eV/atom: -0.71
SG: R-3m, No. 166
DOS at the Fermi energy in states/eV per atom: 0.526

Cell lengths 4.285, 4.285, 15.052 Å; angles 90.00, 90.00, 120.00 degrees
Sites, in units of the cell vectors:
Gd 0.000 0.000 0.000
Gd 0.333 0.667 0.667
Gd 0.667 0.333 0.333
Ga 0.000 0.000 0.217
Ga 0.000 0.000 0.783
Ga 0.333 0.667 0.449
Ga 0.333 0.667 0.884
Ga 0.667 0.333 0.116
Ga 0.667 0.333 0.551
Pd 0.000 0.000 0.500
Pd 0.333 0.667 0.167
Pd 0.667 0.333 0.833

Entry 18:
Compound: BaLaZrRe2
Source: Alexandria via LeMat-Bulk
Functional: PBE
Structure: relaxed

Results
VASP energy in eV/atom: -6.003
Formation energy from the elements in eV/atom: 2.06
SG: P4/mmm, No. 123
DOS at the Fermi energy in states/eV per atom: 1.570

Cell lengths 4.941, 4.941, 5.579 Å; angles 90.00, 90.00, 90.00 degrees
Sites, in units of the cell vectors:
Ba 0.000 0.000 0.000
La 0.000 0.000 0.500
Zr 0.500 0.500 0.000
Re 0.000 0.500 0.500
Re 0.500 0.000 0.500

Entry 19:
Compound: KSbH2
Source: Alexandria via LeMat-Bulk
Functional: PBE
Structure: relaxed

Results
Offset from the most stable computed form in eV per formula unit: 1.737
VASP energy in eV/atom: -2.413
SG: Fm-3m, No. 225
DOS at the Fermi energy in states/eV per atom: 0.335

Cell lengths 6.469, 6.469, 6.469 Å; angles 90.00, 90.00, 90.00 degrees
Sites, in units of the cell vectors:
K 0.000 0.000 0.000
K 0.000 0.500 0.500
K 0.500 0.000 0.500
K 0.500 0.500 0.000
Sb 0.000 0.000 0.500
Sb 0.000 0.500 0.000
Sb 0.500 0.000 0.000
Sb 0.500 0.500 0.500
H 0.250 0.250 0.250
H 0.250 0.250 0.750
H 0.250 0.750 0.250
H 0.250 0.750 0.750
H 0.750 0.250 0.250
H 0.750 0.250 0.750
H 0.750 0.750 0.250
H 0.750 0.750 0.750

Entry 20:
Compound: NaIn15Sn4
Source: Alexandria via LeMat-Bulk
Functional: PBE
Structure: relaxed

Results
VASP energy in eV/atom: -2.924
Formation energy from the elements in eV/atom: 0.00
SG: P4/mmm, No. 123
DOS at the Fermi energy in states/eV per atom: 0.425

Cell lengths 4.960, 4.960, 22.062 Å; angles 90.00, 90.00, 90.00 degrees
Sites, in units of the cell vectors:
Na 0.000 0.000 0.000
In 0.000 0.500 0.100
In 0.000 0.500 0.300
In 0.000 0.500 0.500
In 0.000 0.500 0.700
In 0.000 0.500 0.900
In 0.500 0.000 0.100
In 0.500 0.000 0.300
In 0.500 0.000 0.500
In 0.500 0.000 0.700
In 0.500 0.000 0.900
In 0.500 0.500 0.000
In 0.500 0.500 0.201
In 0.500 0.500 0.400
In 0.500 0.500 0.600
In 0.500 0.500 0.799
Sn 0.000 0.000 0.195
Sn 0.000 0.000 0.401
Sn 0.000 0.000 0.599
Sn 0.000 0.000 0.805

no.,total magnetic moment (μB/atom)
1,0.00
2,0.00
3,0.00
4,1.28
5,0.00
6,0.00
7,0.00
8,0.20
9,0.22
10,0.00
11,0.00
12,0.00
13,0.00
14,0.00
15,0.00
16,0.00
17,1.76
18,0.00
19,0.00
20,0.00